# LaSmPu2

LaSmPu2 after structural relaxation (GGA-PBE, the Alexandria database).

a b c (Å): 5.0101 4.9370 4.9370
angles (deg): 90.00 90.00 90.00
Each line ends with the local moment (μB).
Fractional positions:
La: 0.5000 0.5000 0.5000  0.15
Sm: 0.5000 0.0000 0.0000  0.08
Pu: 0.0000 0.0000 0.5000  5.53
Pu: 0.0000 0.5000 0.0000  5.53

Values from the calculation:
Fermi-level density of states = 15.70 states/eV/cell
Magnetic moment = 12.38 μB per formula unit
Energy of formation = 0.219 eV/atom
ΔE to the lowest computed polymorph = 5 meV per atom
DFT total energy = -37.4 eV for the cell shown